{"formula": "Ba3In2Rh7", "functional": "PBE", "state": "relaxed", "lattice": [[5.541, 0.000, 1.734], [2.499, 4.945, 1.734], [0.142, 0.088, 9.264]], "species": ["In", "Rh", "Ba", "Ba", "Rh", "Rh", "Rh", "Rh", "In", "Ba", "Rh", "Rh"], "frac_coords": [[0.666, 0.666, 0.002], [0.916, 0.417, 0.251], [0.861, 0.861, 0.417], [0.000, 0.000, 0.000], [0.417, 0.916, 0.251], [0.084, 0.583, 0.749], [0.500, 0.500, 0.500], [0.417, 0.417, 0.251], [0.334, 0.334, 0.998], [0.139, 0.139, 0.583], [0.583, 0.084, 0.749], [0.583, 0.583, 0.749]], "volume_a3_per_fu": 252, "delta_e_f_kcal_per_mol_atoms": -5.78, "sg": "R-3m", "magmom_total_mub_per_fu": 0.0, "density_g_cm3": 9.0, "dos_ef_per_ev_fu": 5.95}



{"formula": "Ba2InRh", "functional": "PBE", "state": "relaxed", "lattice": [[-1.702, 4.580, 0.525], [-0.638, 2.473, 4.198], [7.221, 5.055, 0.809]], "species": ["Ba", "Rh", "Ba", "In"], "frac_coords": [[0.931, 0.931, 0.117], [0.239, 0.239, 0.376], [0.781, 0.781, 0.633], [0.549, 0.549, 0.375]], "volume_a3_per_fu": 163, "delta_e_f_kcal_per_mol_atoms": -7.77, "sg": "Cm", "magmom_total_mub_per_fu": 0.0, "density_g_cm3": 5.0, "dos_ef_per_ev_fu": 4.13}



{"formula": "BaIn2Rh", "functional": "PBE", "state": "relaxed", "lattice": [[2.496, 5.152, 1.620], [-3.184, -0.184, -5.023], [-2.834, 0.818, 1.766]], "species": ["In", "In", "Rh", "Ba"], "frac_coords": [[0.500, 0.000, 0.000], [0.000, 0.500, 0.000], [0.000, 0.000, 0.500], [0.500, 0.500, 0.500]], "volume_a3_per_fu": 107, "delta_e_f_kcal_per_mol_atoms": 4.33, "sg": "Cmmm", "magmom_total_mub_per_fu": 0.0, "density_g_cm3": 7.3, "dos_ef_per_ev_fu": 4.13}



{"formula": "Ba2In9Rh3", "functional": "PBE", "state": "relaxed", "lattice": [[7.764, -0.050, -3.236], [-4.585, 7.052, -0.014], [0.486, 0.337, 11.922]], "species": ["Rh", "In", "Ba", "Rh", "In", "In", "Rh", "In", "In", "In", "Ba", "In", "In", "In", "In", "In", "In", "In", "Rh", "In", "Ba", "Rh", "In", "Ba", "In", "Rh", "In", "In"], "frac_coords": [[0.170, 0.338, 0.001], [0.537, 0.185, 0.552], [0.338, 0.249, 0.751], [0.163, 0.831, 0.501], [0.133, 0.985, 0.948], [0.209, 0.691, 0.067], [0.500, 0.500, 0.500], [0.547, 0.082, 0.252], [0.548, 0.356, 0.070], [0.787, 0.478, 0.430], [0.002, 0.413, 0.251], [0.112, 0.862, 0.250], [0.867, 0.015, 0.052], [0.463, 0.815, 0.448], [0.875, 0.857, 0.567], [0.791, 0.309, 0.933], [0.213, 0.522, 0.570], [0.125, 0.143, 0.433], [0.837, 0.169, 0.499], [0.452, 0.644, 0.930], [0.998, 0.587, 0.749], [0.830, 0.662, 0.999], [0.888, 0.138, 0.750], [0.662, 0.751, 0.249], [0.453, 0.918, 0.748], [0.500, 0.000, 0.000], [0.330, 0.295, 0.248], [0.670, 0.705, 0.752]], "volume_a3_per_fu": 333, "delta_e_f_kcal_per_mol_atoms": -8.70, "sg": "C2/c", "magmom_total_mub_per_fu": 0.0, "density_g_cm3": 8.1, "dos_ef_per_ev_fu": 6.89}